# 1
DFT (GGA-PBE) results for a relaxed Ac3Al4Ga4 crystal.

Summary:
Density (g cm⁻³): 6.63
Uncorrected energy (eV/f.u.): -43.8
ΔH_f (0 K) (eV/f.u.): -4.44
D(E_F) (states/eV/cell): 5.7

abc: 8.932 8.932 8.932
angles: 149.96 130.93 58.61
Fractional coordinates of all 11 atoms:
Ac (0.000, 0.000, 0.000)
Ac (0.364, 0.864, 0.500)
Ac (0.636, 0.136, 0.500)
Al (0.027, 0.348, 0.679)
Al (0.331, 0.652, 0.679)
Al (0.669, 0.348, 0.321)
Al (0.973, 0.652, 0.321)
Ga (0.213, 0.213, 0.000)
Ga (0.325, 0.500, 0.825)
Ga (0.675, 0.500, 0.175)
Ga (0.787, 0.787, 0.000)

# 2
DFT (GGA-PBE) results for a relaxed Ac12AlGa6 crystal.

Summary:
Density (g cm⁻³): 7.48
Uncorrected energy (eV/f.u.): -74.2
ΔH_f (0 K) (eV/f.u.): -3.03
D(E_F) (states/eV/cell): 21.1

abc: 9.593 9.593 9.593
angles: 108.46 108.46 108.46
Fractional coordinates of all 19 atoms:
Ac (0.003, 0.856, 0.301)
Ac (0.144, 0.380, 0.468)
Ac (0.144, 0.699, 0.997)
Ac (0.301, 0.003, 0.856)
Ac (0.380, 0.468, 0.144)
Ac (0.468, 0.144, 0.380)
Ac (0.532, 0.856, 0.620)
Ac (0.620, 0.532, 0.856)
Ac (0.699, 0.997, 0.144)
Ac (0.856, 0.301, 0.003)
Ac (0.856, 0.620, 0.532)
Ac (0.997, 0.144, 0.699)
Al (0.000, 0.000, 0.000)
Ga (0.178, 0.630, 0.312)
Ga (0.312, 0.178, 0.630)
Ga (0.370, 0.688, 0.822)
Ga (0.630, 0.312, 0.178)
Ga (0.688, 0.822, 0.370)
Ga (0.822, 0.370, 0.688)

# 3
DFT (GGA-PBE) results for a relaxed Ac2Al5Ga crystal.

Summary:
Density (g cm⁻³): 5.74
Uncorrected energy (eV/f.u.): -32.9
ΔH_f (0 K) (eV/f.u.): -2.99
D(E_F) (states/eV/cell): 5.9

abc: 9.115 9.115 9.263
angles: 90.00 90.00 150.33
Fractional coordinates of all 16 atoms:
Ac (0.000, 0.000, 0.000)
Ac (0.000, 0.000, 0.500)
Ac (0.204, 0.796, 0.750)
Ac (0.796, 0.204, 0.250)
Al (0.183, 0.817, 0.109)
Al (0.183, 0.817, 0.391)
Al (0.352, 0.648, 0.016)
Al (0.352, 0.648, 0.484)
Al (0.414, 0.586, 0.750)
Al (0.586, 0.414, 0.250)
Al (0.648, 0.352, 0.516)
Al (0.648, 0.352, 0.984)
Al (0.817, 0.183, 0.609)
Al (0.817, 0.183, 0.891)
Ga (0.437, 0.563, 0.250)
Ga (0.563, 0.437, 0.750)

- What is the density in the first record?
  6.63 g cm⁻³

- Look up the D(E_F) of the second one.
  21.1 states/eV/cell

- Among the records above, which one has the highest D(E_F)?
  Ac12AlGa6